Entry from Alexandria via LeMat-Bulk: a geometry-optimized YBeFe2 structure (PBE-GGA).

Computed properties:
energy of formation from the pure elements = 0.62 eV per formula unit
SG = Pm, No. 6
ρ = 5554 kg/m3

abc: 3.3034 3.6869 5.3990
angles: 90.00 107.64 90.00
Fractional coordinates of all 4 atoms:
Y1 0.0000 0.0000 0.0000
Be1 0.6256 0.5000 0.2540
Fe1 0.2727 0.5000 0.5505
Fe2 0.7372 0.0000 0.4801